Record 1
{
  "formula": "TiTlPCl2",
  "functional": "GGA-PBEsol",
  "state": "optimized geometry",
  "lattice": [[5.114, 0.000, 0.000], [0.000, 5.114, 0.000], [0.000, 0.000, 5.183]],
  "species": ["Ti", "Tl", "P", "Cl", "Cl"],
  "frac_coords": [[0.000, 0.000, 0.000], [0.500, 0.500, 0.500], [0.500, 0.500, 0.000], [0.000, 0.500, 0.500], [0.500, 0.000, 0.500]],
  "total_energy_ev_per_cell": -18.02,
  "formation_energy_uncorrected_ev_per_atom": 0.55,
  "rho_g_cm3": 4.34,
  "volume_a3_per_atom": 27.11
}

Record 2
{
  "formula": "TiZnP2Cl",
  "functional": "GGA-PBEsol",
  "state": "optimized geometry",
  "lattice": [[4.721, 0.000, 0.000], [0.000, 4.721, 0.000], [0.000, 0.000, 4.614]],
  "species": ["Ti", "Zn", "P", "P", "Cl"],
  "frac_coords": [[0.000, 0.000, 0.000], [0.500, 0.500, 0.500], [0.000, 0.500, 0.000], [0.500, 0.000, 0.000], [0.000, 0.000, 0.500]],
  "total_energy_ev_per_cell": -23.35,
  "formation_energy_uncorrected_ev_per_atom": 0.03,
  "rho_g_cm3": 3.40,
  "volume_a3_per_atom": 20.56
}

Record 3
{
  "formula": "TiZnPCl2",
  "functional": "GGA-PBEsol",
  "state": "optimized geometry",
  "lattice": [[4.492, 0.000, 0.000], [0.000, 4.492, 0.000], [0.000, 0.000, 5.063]],
  "species": ["Ti", "Zn", "P", "Cl", "Cl"],
  "frac_coords": [[0.000, 0.000, 0.000], [0.500, 0.500, 0.500], [0.500, 0.500, 0.000], [0.000, 0.500, 0.500], [0.500, 0.000, 0.500]],
  "total_energy_ev_per_cell": -18.87,
  "formation_energy_uncorrected_ev_per_atom": 0.17,
  "rho_g_cm3": 3.50,
  "volume_a3_per_atom": 20.43
}

Record 4
{
  "formula": "TlP4Cl",
  "functional": "GGA-PBEsol",
  "state": "optimized geometry",
  "lattice": [[0.000, 4.106, 4.106], [4.106, 0.000, 4.106], [4.106, 4.106, 0.000]],
  "species": ["Tl", "P", "P", "P", "P", "Cl"],
  "frac_coords": [[0.000, 0.000, 0.000], [0.405, 0.405, 0.405], [0.405, 0.405, 0.784], [0.405, 0.784, 0.405], [0.784, 0.405, 0.405], [0.750, 0.750, 0.750]],
  "total_energy_ev_per_cell": -28.25,
  "formation_energy_uncorrected_ev_per_atom": -0.08,
  "rho_g_cm3": 4.36,
  "volume_a3_per_atom": 23.07
}

Record 5
{
  "formula": "TlPCl2",
  "functional": "GGA-PBEsol",
  "state": "optimized geometry",
  "lattice": [[1.899, -3.268, 0.000], [1.899, 3.268, 0.000], [0.000, 0.000, 8.158]],
  "species": ["Tl", "P", "Cl", "Cl"],
  "frac_coords": [[0.000, 0.000, 0.000], [0.500, 0.500, 0.750], [0.000, 0.000, 0.589], [0.500, 0.500, 0.231]],
  "total_energy_ev_per_cell": -12.41,
  "formation_energy_uncorrected_ev_per_atom": 0.01,
  "rho_g_cm3": 5.02,
  "volume_a3_per_atom": 25.31
}

Record 6
{
  "formula": "Y2TlPCl",
  "functional": "GGA-PBEsol",
  "state": "optimized geometry",
  "lattice": [[5.045, 0.000, 0.000], [0.000, 5.045, 0.000], [0.000, 0.000, 4.865]],
  "species": ["Y", "Y", "Tl", "P", "Cl"],
  "frac_coords": [[0.000, 0.500, 0.000], [0.500, 0.000, 0.000], [0.000, 0.000, 0.500], [0.500, 0.500, 0.500], [0.500, 0.500, 0.000]],
  "total_energy_ev_per_cell": -25.21,
  "formation_energy_uncorrected_ev_per_atom": -0.23,
  "rho_g_cm3": 6.01,
  "volume_a3_per_atom": 24.77
}

Record 7
{
  "formula": "ZrTlPCl2",
  "functional": "GGA-PBEsol",
  "state": "optimized geometry",
  "lattice": [[5.011, 0.000, 0.000], [0.000, 5.011, 0.000], [0.000, 0.000, 5.068]],
  "species": ["Zr", "Tl", "P", "Cl", "Cl"],
  "frac_coords": [[0.000, 0.000, 0.000], [0.500, 0.500, 0.500], [0.000, 0.000, 0.500], [0.000, 0.500, 0.000], [0.500, 0.000, 0.000]],
  "total_energy_ev_per_cell": -25.73,
  "formation_energy_uncorrected_ev_per_atom": -0.84,
  "rho_g_cm3": 5.19,
  "volume_a3_per_atom": 25.45
}

Record 8
{
  "formula": "VPCl9",
  "functional": "GGA-PBEsol",
  "state": "optimized geometry",
  "lattice": [[5.915, -8.241, 0.000], [5.915, 8.241, 0.000], [0.000, 0.000, 6.156]],
  "species": ["V", "V", "P", "P", "Cl", "Cl", "Cl", "Cl", "Cl", "Cl", "Cl", "Cl", "Cl", "Cl", "Cl", "Cl", "Cl", "Cl", "Cl", "Cl", "Cl", "Cl"],
  "frac_coords": [[0.250, 0.750, 0.900], [0.750, 0.250, 0.100], [0.250, 0.250, 0.500], [0.750, 0.750, 0.500], [0.087, 0.222, 0.687], [0.088, 0.588, 0.734], [0.111, 0.889, 0.903], [0.222, 0.087, 0.313], [0.250, 0.750, 0.254], [0.278, 0.413, 0.313], [0.389, 0.611, 0.903], [0.412, 0.912, 0.734], [0.413, 0.278, 0.687], [0.587, 0.722, 0.313], [0.588, 0.088, 0.266], [0.611, 0.389, 0.097], [0.722, 0.587, 0.687], [0.750, 0.250, 0.746], [0.778, 0.913, 0.687], [0.889, 0.111, 0.097], [0.912, 0.412, 0.266], [0.913, 0.778, 0.313]],
  "total_energy_ev_per_cell": -85.48,
  "formation_energy_uncorrected_ev_per_atom": -0.84,
  "rho_g_cm3": 2.22,
  "volume_a3_per_atom": 27.28
}

Which formula does entry 6 have? Y2TlPCl

What is the formula in the seventh record? ZrTlPCl2